# 1
A plane-wave DFT calculation with meta-GGA SCAN was carried out for Ba3NaTa at its PBEsol-relaxed geometry.

Cell: 6.1969 6.1969 6.1969 Å, 90.00 90.00 90.00°
Fractional positions:
Ba (0.0000, 0.0000, 0.5000)
Ba (0.0000, 0.5000, 0.0000)
Ba (0.5000, 0.0000, 0.0000)
Na (0.0000, 0.0000, 0.0000)
Ta (0.5000, 0.5000, 0.5000)

Computed properties:
total magnetization	1.005	μB/atom
ρ	4.30	g/cm³
symmetry	No. 221
calculated volume	47.6	A^3/atom
DFT formation energy	7.08	eV/f.u.

---

# 2
A plane-wave DFT calculation with meta-GGA SCAN was carried out for MgSb2Pt at its PBEsol-relaxed geometry.

Cell: 3.3133 3.3133 7.8413 Å, 90.00 90.00 94.30°
Fractional positions:
Mg (0.0000, 0.0000, 0.0000)
Sb (0.5000, 0.5000, 0.2808)
Sb (0.5000, 0.5000, 0.7192)
Pt (0.0000, 0.0000, 0.5000)

Computed properties:
total magnetization	0.000	μB/atom
ρ	8.95	g/cm³
symmetry	No. 65
calculated volume	21.5	A^3/atom
ΔE_f (raw)	-59	meV/atom

---

# 3
A plane-wave DFT calculation with meta-GGA SCAN was carried out for AlOs2W at its PBEsol-relaxed geometry.

Cell: 5.0899 5.0899 5.0899 Å, 146.74 127.71 63.39°
Fractional positions:
Al (0.0000, 0.0000, 0.0000)
Os (0.2363, 0.7363, 0.5000)
Os (0.7637, 0.2637, 0.5000)
W (0.5000, 0.5000, 0.0000)

Computed properties:
total magnetization	0.000	μB/atom
ρ	17.35	g/cm³
symmetry	No. 71
calculated volume	14.1	A^3/atom
DFT formation energy	-0.22	eV/f.u.

---

# 4
A plane-wave DFT calculation with meta-GGA SCAN was carried out for ScTc2P at its PBEsol-relaxed geometry.

Cell: 3.6755 3.6755 4.3036 Å, 90.00 90.00 90.00°
Fractional positions:
Sc (0.0000, 0.0000, 0.0000)
Tc (0.0000, 0.5000, 0.5000)
Tc (0.5000, 0.0000, 0.5000)
P (0.5000, 0.5000, 0.0000)

Computed properties:
total magnetization	0.000	μB/atom
ρ	7.77	g/cm³
symmetry	No. 123
calculated volume	14.5	A^3/atom
DFT formation energy	-0.95	eV/f.u.

---

# 5
A plane-wave DFT calculation with meta-GGA SCAN was carried out for LiTeMo2 at its PBEsol-relaxed geometry.

Cell: 2.9005 2.9005 9.0064 Å, 90.00 90.00 112.05°
Fractional positions:
Li (0.0000, 0.0000, 0.0000)
Te (0.0000, 0.0000, 0.5000)
Mo (0.5000, 0.5000, 0.2587)
Mo (0.5000, 0.5000, 0.7413)

Computed properties:
total magnetization	0.000	μB/atom
ρ	7.72	g/cm³
symmetry	No. 65
calculated volume	17.6	A^3/atom
ΔE_f (raw)	917	meV/atom

---

# 6
A plane-wave DFT calculation with meta-GGA SCAN was carried out for KCdGe2I at its PBEsol-relaxed geometry.

Cell: 5.0082 5.0082 7.0503 Å, 90.00 90.00 90.00°
Fractional positions:
K (0.0000, 0.0000, 0.0000)
Cd (0.0000, 0.0000, 0.5000)
Ge (0.0000, 0.5000, 0.5000)
Ge (0.5000, 0.0000, 0.5000)
I (0.5000, 0.5000, 0.0000)

Computed properties:
total magnetization	0.000	μB/atom
ρ	3.98	g/cm³
symmetry	No. 123
calculated volume	35.4	A^3/atom
ΔE_f (raw)	189	meV/atom

---

# 7
A plane-wave DFT calculation with meta-GGA SCAN was carried out for Ba5Cd at its PBEsol-relaxed geometry.

Cell: 7.6720 7.6720 10.4436 Å, 112.00 112.00 32.31°
Fractional positions:
Ba (0.0000, 0.0000, 0.0000)
Ba (0.3361, 0.3361, 0.2204)
Ba (0.3688, 0.3688, 0.6314)
Ba (0.6312, 0.6312, 0.3686)
Ba (0.6639, 0.6639, 0.7796)
Cd (0.0000, 0.0000, 0.5000)

Computed properties:
total magnetization	0.001	μB/atom
ρ	4.39	g/cm³
symmetry	No. 12
calculated volume	50.4	A^3/atom
DFT formation energy	-0.63	eV/f.u.

---

# 8
A plane-wave DFT calculation with meta-GGA SCAN was carried out for Ta3As2 at its PBEsol-relaxed geometry.

Cell: 9.4765 9.4765 9.4765 Å, 20.13 20.13 20.13°
Fractional positions:
Ta (0.0000, 0.0000, 0.0000)
Ta (0.2021, 0.2021, 0.2021)
Ta (0.7979, 0.7979, 0.7979)
As (0.3985, 0.3985, 0.3985)
As (0.6015, 0.6015, 0.6015)

Computed properties:
total magnetization	0.000	μB/atom
ρ	13.05	g/cm³
symmetry	No. 166
calculated volume	17.6	A^3/atom
DFT formation energy	-0.05	eV/f.u.

---

# 9
A plane-wave DFT calculation with meta-GGA SCAN was carried out for BaZn2 at its PBEsol-relaxed geometry.

Cell: 3.7438 3.7438 5.7889 Å, 90.00 90.00 90.00°
Fractional positions:
Ba (0.0000, 0.0000, 0.0000)
Zn (0.0000, 0.5000, 0.5000)
Zn (0.5000, 0.0000, 0.5000)

Computed properties:
total magnetization	0.000	μB/atom
ρ	5.49	g/cm³
symmetry	No. 123
calculated volume	27.0	A^3/atom
DFT formation energy	0.19	eV/f.u.

---

# 10
A plane-wave DFT calculation with meta-GGA SCAN was carried out for MgPPt2 at its PBEsol-relaxed geometry.

Cell: 4.7123 4.7123 4.7123 Å, 130.60 130.60 72.46°
Fractional positions:
Mg (0.0000, 0.0000, 0.0000)
P (0.5000, 0.5000, 0.0000)
Pt (0.2500, 0.7500, 0.5000)
Pt (0.7500, 0.2500, 0.5000)

Computed properties:
total magnetization	0.000	μB/atom
ρ	12.54	g/cm³
symmetry	No. 139
calculated volume	14.7	A^3/atom
DFT formation energy	-1.64	eV/f.u.

---

# 11
A plane-wave DFT calculation with meta-GGA SCAN was carried out for YSiTe2 at its PBEsol-relaxed geometry.

Cell: 9.4833 9.4833 9.4833 Å, 24.87 24.87 24.87°
Fractional positions:
Y (0.0000, 0.0000, 0.0000)
Si (0.5000, 0.5000, 0.5000)
Te (0.4008, 0.4008, 0.4008)
Te (0.5992, 0.5992, 0.5992)

Computed properties:
total magnetization	0.000	μB/atom
ρ	4.66	g/cm³
symmetry	No. 166
calculated volume	33.2	A^3/atom
ΔE_f (raw)	-286	meV/atom

---

# 12
A plane-wave DFT calculation with meta-GGA SCAN was carried out for LiCoSN2 at its PBEsol-relaxed geometry.

Cell: 3.4446 3.4446 4.3621 Å, 90.00 90.00 90.00°
Fractional positions:
Li (0.0000, 0.0000, 0.0000)
Co (0.5000, 0.5000, 0.5000)
S (0.0000, 0.0000, 0.5000)
N (0.0000, 0.5000, 0.0000)
N (0.5000, 0.0000, 0.0000)

Computed properties:
total magnetization	0.956	μB/atom
ρ	4.04	g/cm³
symmetry	No. 123
calculated volume	10.4	A^3/atom
ΔE_f (raw)	1722	meV/atom